Computed, not measured: a relaxed Ba3Ta2VO9 crystal at the PBE+U level of DFT.

Spin magnetization in μB/f.u.: 3.00
V in Å³/cell: 213.9
Final energy in eV per atom: -8.314
SG: P-3m1

a = 5.855 Å, b = 5.855 Å, c = 7.203 Å
α = 90.00°, β = 90.00°, γ = 120.00°
Each line ends with the local moment (μB).
Sites, in units of the cell vectors:
1 Ba 0.333 0.667 0.663  0.01
2 Ba 0.000 0.000 0.000  0.00
3 Ba 0.667 0.333 0.337  0.01
4 Ta 0.333 0.667 0.174  0.07
5 Ta 0.667 0.333 0.826  0.07
6 V 0.000 0.000 0.500  2.57
7 O 0.827 0.173 0.677  -0.01
8 O 0.827 0.655 0.677  -0.01
9 O 0.345 0.173 0.677  -0.01
10 O 0.655 0.827 0.323  -0.01
11 O 0.173 0.345 0.323  -0.01
12 O 0.173 0.827 0.323  -0.01
13 O 0.500 0.000 0.000  0.00
14 O 0.000 0.500 0.000  0.00
15 O 0.500 0.500 0.000  0.00